1.
The following is a GGA-PBE calculation of an optimized crystal structure of Li2CePN, from the Alexandria database.

Output
- E_form (uncorrected): -1003 meV/atom

a b c (Å): 5.9266 5.9266 8.9279
angles (deg): 90.00 90.00 90.00
Space group I4/mcm (No. 140)
Unique sites:
Li1 0.1668 0.3332 0.0000 (multiplicity 8)
Ce1 0.0000 0.0000 0.2500 (multiplicity 4)
P1 0.0000 0.5000 0.2500 (multiplicity 4)
N1 0.0000 0.0000 0.0000 (multiplicity 4)

***

2.
The following is a GGA-PBE calculation of an optimized crystal structure of TaTiNbW, from the Alexandria database.

Output
- ΔE to the lowest computed polymorph: 17 meV per atom

a b c (Å): 2.8044 2.8333 9.2246
angles (deg): 89.99 89.90 70.66
Space group P1 (No. 1)
Unique sites:
Ta1 0.0000 0.0000 0.0000 (multiplicity 1)
Ti1 0.0001 0.0023 0.5195 (multiplicity 1)
Nb1 0.4991 0.5004 0.2614 (multiplicity 1)
W1 0.5001 0.5012 0.7552 (multiplicity 1)

***

Number 1: uncorrected energy -114.047 eV for the cell shown, total moment 0.00 μB per formula unit. Number 2: uncorrected energy -42.780 eV for the cell shown, total moment 0.00 μB per formula unit.